# 1
VASP calculation (GGA-PBE) on crystalline LaCo2BRu at its relaxed geometry.

## Properties
ΔH_f (0 K) (eV/atom): -0.17
Electronic total energy (eV per atom): -7.19
Space-group type: P4/mmm, No. 123

POSCAR file:
```
LaCo2BRu
1.0
4.096 0.000 0.000
0.000 4.096 0.000
0.000 0.000 4.234
La Co B Ru
1 2 1 1
Direct
0.000 0.000 0.000
0.000 0.500 0.500
0.500 0.000 0.500
0.500 0.500 0.500
0.500 0.500 0.000
```

# 2
VASP calculation (GGA-PBE) on crystalline CaPd4Pb3 at its relaxed geometry.

## Properties
ΔH_f (0 K) (eV/atom): -0.24
Electronic total energy (eV per atom): -4.48
Space-group type: Imm2, No. 44

POSCAR file:
```
CaPd4Pb3
1.0
-2.642 3.924 4.427
2.642 -3.924 4.427
2.642 3.924 -4.427
Ca Pd Pb
1 4 3
Direct
0.000 0.000 0.000
0.104 0.290 0.815
0.475 0.290 0.185
0.724 0.464 0.741
0.724 0.983 0.259
0.333 0.603 0.730
0.422 0.922 0.500
0.874 0.603 0.270
```

- Number 1 is which compound?
  LaCo2BRu

- Among the records above, which one has the highest electronic total energy?
  CaPd4Pb3